<i>
VASP calculation (PBE) on an optimized crystal structure of BaZnAg2Au.

The volume comes out at 24.9 A^3/atom.

The structure belongs to space group Imm2 (No. 44); the cell edges are 4.676, 4.732 and 11.274 Å and the angles 90.00°, 90.00° and 90.00°. The distinct sites, in fractional coordinates, are Ba at (0.000, 0.000, 0.000), Zn at (0.000, 0.500, 0.756), Ag at (0.000, 0.000, 0.626), Ag at (0.000, 0.500, 0.253) and Au at (0.000, 0.000, 0.381).

***

<ii>
VASP calculation (PBE) on an optimized crystal structure of BaZnAg2Au.

The volume comes out at 26.2 A^3/atom.

The structure belongs to space group P4/mmm (No. 123); the cell edges are 5.072, 5.072 and 5.089 Å and the angles 90.00°, 90.00° and 90.00°. The distinct sites, in fractional coordinates, are Ba at (0.000, 0.000, 0.000), Zn at (0.500, 0.500, 0.500), Ag at (0.000, 0.500, 0.500) and Au at (0.500, 0.500, 0.000).

***

The structure with the most favorable energy is <i>; the runner-up is 96 meV per atom above it.